# 1
Computed, not measured: BaSiAg after structural relaxation at the PBE level of DFT.

Summary:
Total moment: 0.00 μB/atom
Raw formation energy: 162 meV per atom

a = 3.6825 Å, b = 5.2137 Å, c = 9.0775 Å
α = 90.00°, β = 90.00°, γ = 90.00°
Space group Imm2 (No. 44)
One atom of each set of equivalent atoms:
Ba 0.0000 0.0000 0.0000 [2 per cell]
Si 0.0000 0.0000 0.3552 [2 per cell]
Ag 0.0000 0.0000 0.6390 [2 per cell]

# 2
Computed, not measured: BaSiAg after structural relaxation at the PBE level of DFT.

Summary:
Total moment: 0.00 μB/atom
Raw formation energy: -181 meV per atom

a = 4.0475 Å, b = 4.6952 Å, c = 9.8372 Å
α = 103.78°, β = 101.83°, γ = 90.02°
Space group P1 (No. 1)
One atom of each set of equivalent atoms:
Ba 0.0000 0.0000 0.0000 [1 per cell]
Ba 0.2240 0.2219 0.4454 [1 per cell]
Si 0.4309 0.4311 0.8608 [1 per cell]
Si 0.8610 0.3590 0.7206 [1 per cell]
Ag 0.6229 0.6210 0.2428 [1 per cell]
Ag 0.8076 0.8054 0.6131 [1 per cell]

# 3
Computed, not measured: BaSiAg2 after structural relaxation at the PBE level of DFT.

Summary:
Total moment: 0.00 μB/atom
Raw formation energy: 254 meV per atom

a = 4.4672 Å, b = 4.7839 Å, c = 4.8385 Å
α = 90.00°, β = 90.42°, γ = 90.00°
Space group P2/m (No. 10)
One atom of each set of equivalent atoms:
Ba 0.0000 0.0000 0.0000 [1 per cell]
Si 0.0000 0.5000 0.5000 [1 per cell]
Ag 0.5000 0.0000 0.5000 [1 per cell]
Ag 0.5000 0.5000 0.0000 [1 per cell]